P2O2F | Alexandria via LeMat-Bulk | PBE | relaxed; DFT total energy = -3.217 eV per atom; symmetry = No. 123
1.0
4.183 0.000 0.000
0.000 4.183 0.000
0.000 0.000 3.733
P O F
2 2 1
Cartesian
0.000 2.092 0.000
2.092 0.000 0.000
0.000 0.000 1.867
2.092 2.092 1.867
0.000 0.000 0.000

---

POF2 | Alexandria via LeMat-Bulk | PBE | relaxed; polymorph energy (0 for the lowest one) = 2.046 eV per atom; symmetry = No. 225
1.0
0.000 2.698 2.698
2.698 0.000 2.698
2.698 2.698 0.000
P O F
1 1 2
Cartesian
0.000 0.000 0.000
2.698 2.698 2.698
1.349 1.349 1.349
4.047 4.047 4.047

---

POF2 | Alexandria via LeMat-Bulk | PBE | relaxed; polymorph energy (0 for the lowest one) = 0.000 eV per atom; symmetry = No. 11
1.0
3.321 0.000 0.000
0.000 9.123 0.000
-0.038 0.000 4.252
P O F
2 2 4
Cartesian
0.798 2.281 2.121
2.485 6.842 2.131
0.644 6.842 2.709
2.639 2.281 1.543
0.879 1.080 3.162
0.879 3.481 3.162
2.405 5.642 1.091
2.405 8.043 1.091

---

POF2 | Alexandria via LeMat-Bulk | PBE | relaxed; polymorph energy (0 for the lowest one) = 2.085 eV per atom; symmetry = No. 166
1.0
1.346 0.777 8.146
-1.346 0.777 8.146
0.000 -1.554 8.146
P O F
1 1 2
Cartesian
0.000 0.000 0.000
0.000 0.000 12.219
0.000 0.000 9.738
0.000 0.000 14.700

---

PaP2O8F | Alexandria via LeMat-Bulk | PBE | relaxed; DFT total energy = -7.437 eV per atom; symmetry = No. 12
1.0
5.337 -3.086 0.000
5.337 3.086 0.000
-0.005 0.000 4.712
Pa P O F
1 2 8 1
Cartesian
0.000 0.000 0.000
3.554 0.000 3.402
7.115 0.000 1.310
2.100 0.000 3.929
4.284 1.260 3.921
3.549 0.000 1.879
6.385 1.260 0.791
4.284 -1.260 3.921
7.120 0.000 2.833
6.385 -1.260 0.791
8.568 0.000 0.783
-0.003 0.000 2.356

---

PaP2O6F2 | Alexandria via LeMat-Bulk | PBE | relaxed; DFT total energy = -7.640 eV per atom; symmetry = No. 164
1.0
5.830 0.000 0.000
-2.915 5.049 0.000
0.000 0.000 6.099
Pa P O F
1 2 6 2
Cartesian
0.000 0.000 0.000
0.000 3.366 4.448
2.915 1.683 1.651
0.000 1.897 4.855
-1.273 4.101 4.855
1.643 0.948 1.244
1.273 4.101 4.855
4.188 0.948 1.244
2.915 3.153 1.244
0.000 3.366 2.875
2.915 1.683 3.224

---

PaPO6F | Alexandria via LeMat-Bulk | PBE | relaxed; DFT total energy = -7.482 eV per atom; symmetry = No. 1
1.0
5.130 0.000 0.000
1.062 5.813 0.000
2.554 2.231 4.848
Pa P O F
1 1 6 1
Cartesian
0.000 0.000 0.000
3.662 6.752 2.219
2.931 6.326 3.536
1.813 4.052 1.267
1.520 1.151 1.115
3.325 2.232 2.697
2.726 4.190 0.309
4.702 5.740 1.689
6.442 3.734 4.197

---

P3Pb5O12F | Alexandria via LeMat-Bulk | PBE | relaxed; DFT total energy = -6.533 eV per atom; symmetry = No. 176
1.0
10.034 0.000 0.000
-5.017 8.690 0.000
0.000 0.000 7.475
P Pb O F
6 10 24 2
Cartesian
-1.701 3.495 1.869
-1.140 8.415 1.869
2.176 3.221 5.607
2.841 5.469 1.869
6.157 0.275 5.607
6.718 5.195 5.607
-3.736 6.551 1.869
1.212 2.179 1.869
2.493 0.040 5.607
0.000 5.793 3.758
0.000 5.793 7.455
5.017 2.897 0.021
5.017 2.897 3.717
2.524 8.650 1.869
3.805 6.511 5.607
8.753 2.139 5.607
-0.894 3.027 0.614
-0.894 3.027 3.123
-1.720 5.069 1.869
-1.868 5.745 5.607
-1.948 7.950 0.614
-1.948 7.950 3.123
0.976 4.200 5.607
2.175 2.288 4.352
2.175 2.288 6.861
1.487 4.666 1.869
0.233 7.644 1.869
4.125 1.255 1.869
0.892 7.435 5.607
4.784 1.046 5.607
3.530 4.024 5.607
2.842 6.402 0.614
2.842 6.402 3.123
4.041 4.490 1.869
6.966 0.739 4.352
6.966 0.739 6.861
6.885 2.945 1.869
6.737 3.621 5.607
5.911 5.663 4.352
5.911 5.663 6.861
0.000 0.000 1.869
0.000 0.000 5.607

---

PPbO2F | Alexandria via LeMat-Bulk | PBE | relaxed; DFT total energy = -3.948 eV per atom; symmetry = No. 123
1.0
4.643 0.000 0.000
0.000 4.643 0.000
0.000 0.000 3.502
P Pb O F
1 1 2 1
Cartesian
0.000 0.000 0.000
2.321 2.321 0.000
0.000 2.321 1.751
2.321 0.000 1.751
0.000 0.000 1.751

---

PPbO2F | Alexandria via LeMat-Bulk | PBE | relaxed; DFT total energy = -5.235 eV per atom; symmetry = No. 123
1.0
3.938 0.000 0.000
0.000 3.938 0.000
0.000 0.000 4.501
P Pb O F
1 1 2 1
Cartesian
0.000 0.000 0.000
1.969 1.969 2.250
0.000 1.969 0.000
1.969 0.000 0.000
0.000 0.000 2.250

---

PPbO2F | Alexandria via LeMat-Bulk | PBE | relaxed; DFT total energy = -3.869 eV per atom; symmetry = No. 123
1.0
4.084 0.000 0.000
0.000 4.084 0.000
0.000 0.000 5.894
P Pb O F
1 1 2 1
Cartesian
0.000 0.000 0.000
0.000 0.000 2.947
0.000 2.042 2.947
2.042 0.000 2.947
2.042 2.042 0.000

---

PPbO2F | Alexandria via LeMat-Bulk | PBE | relaxed; DFT total energy = -4.261 eV per atom; symmetry = No. 123
1.0
4.356 0.000 0.000
0.000 4.356 0.000
0.000 0.000 4.422
P Pb O F
1 1 2 1
Cartesian
0.000 0.000 0.000
2.178 2.178 2.211
0.000 2.178 2.211
2.178 0.000 2.211
2.178 2.178 0.000

---

PPb2O4F2 | Alexandria via LeMat-Bulk | PBE | relaxed; DFT total energy = -5.693 eV per atom; symmetry = No. 139
1.0
-2.852 2.852 3.770
2.852 -2.852 3.770
2.852 2.852 -3.770
P Pb O F
1 2 4 2
Cartesian
0.000 0.000 0.000
2.852 0.000 1.885
0.000 2.852 1.885
1.166 1.166 0.000
1.686 -1.686 3.770
-1.686 1.686 3.770
1.686 1.686 3.770
0.000 0.000 1.831
0.000 0.000 5.708

---

PPdOF2 | Alexandria via LeMat-Bulk | PBE | relaxed; polymorph energy (0 for the lowest one) = 0.614 eV per atom; symmetry = No. 123
1.0
4.160 0.000 0.000
0.000 4.160 0.000
0.000 0.000 4.095
P Pd O F
1 1 1 2
Cartesian
0.000 0.000 0.000
2.080 2.080 2.048
2.080 2.080 0.000
0.000 2.080 2.048
2.080 0.000 2.048

---

PPdOF2 | Alexandria via LeMat-Bulk | PBE | relaxed; polymorph energy (0 for the lowest one) = 0.000 eV per atom; symmetry = No. 123
1.0
4.301 0.000 0.000
0.000 4.301 0.000
0.000 0.000 3.475
P Pd O F
1 1 1 2
Cartesian
0.000 0.000 0.000
2.150 2.150 1.738
0.000 0.000 1.738
0.000 2.150 0.000
2.150 0.000 0.000

---

PmP2O6F2 | Alexandria via LeMat-Bulk | PBE | relaxed; DFT total energy = -7.006 eV per atom; symmetry = No. 164
1.0
5.963 0.000 0.000
-2.982 5.164 0.000
0.000 0.000 5.814
Pm P O F
1 2 6 2
Cartesian
0.000 0.000 0.000
0.000 3.443 4.170
2.982 1.721 1.644
0.000 1.980 4.583
-1.267 4.174 4.583
1.715 0.990 1.232
1.267 4.174 4.583
4.248 0.990 1.232
2.982 3.184 1.232
0.000 3.443 2.592
2.982 1.721 3.222

---

PmP2O6F | Alexandria via LeMat-Bulk | PBE | relaxed; DFT total energy = -7.448 eV per atom; symmetry = No. 15
1.0
5.968 -5.365 0.000
5.968 5.365 0.000
-1.142 0.000 4.442
Pm P O F
2 4 12 2
Cartesian
5.112 3.741 3.332
5.683 -3.741 1.111
3.472 0.919 1.432
2.901 -0.919 3.653
7.894 0.919 0.789
7.323 -0.919 3.010
2.022 1.193 1.182
4.329 2.008 1.993
1.451 -1.193 3.403
4.204 0.433 0.088
3.633 -0.433 2.309
7.036 2.008 0.228
3.758 -2.008 4.214
7.161 0.433 2.133
6.591 -0.433 4.354
9.343 1.193 1.039
6.465 -2.008 2.449
8.772 -1.193 3.260
5.683 4.573 1.111
5.112 -4.573 3.332

---

PmPO4F | Alexandria via LeMat-Bulk | PBE | relaxed; DFT total energy = -7.255 eV per atom; symmetry = No. 12
1.0
4.705 -3.618 0.000
4.705 3.618 0.000
-1.802 0.000 6.375
Pm P O F
2 2 8 2
Cartesian
1.736 0.000 0.751
5.872 0.000 5.625
2.028 0.000 4.669
5.580 0.000 1.706
1.369 1.228 5.357
1.786 0.000 3.160
4.061 0.000 1.461
1.369 -1.228 5.357
6.239 1.228 1.018
3.547 0.000 4.914
5.822 0.000 3.215
6.239 -1.228 1.018
-1.305 0.000 5.193
8.913 0.000 1.182

---

Pm2PO4F2 | Alexandria via LeMat-Bulk | PBE | relaxed; DFT total energy = -7.089 eV per atom; symmetry = No. 12
1.0
3.130 -2.820 0.000
3.130 2.820 0.000
-0.126 0.000 7.640
Pm P O F
2 1 4 2
Cartesian
0.732 0.000 2.043
5.401 0.000 5.597
3.130 0.000 0.000
2.569 1.178 1.073
3.564 1.178 6.568
2.569 -1.178 1.073
3.564 -1.178 6.568
1.204 0.000 4.280
4.929 0.000 3.360

---

PPtOF2 | Alexandria via LeMat-Bulk | PBE | relaxed; polymorph energy (0 for the lowest one) = 0.336 eV per atom; symmetry = No. 123
1.0
4.474 0.000 0.000
0.000 4.474 0.000
0.000 0.000 3.786
P Pt O F
1 1 1 2
Cartesian
0.000 0.000 0.000
2.237 2.237 1.893
2.237 2.237 0.000
0.000 2.237 1.893
2.237 0.000 1.893

---

PPtOF2 | Alexandria via LeMat-Bulk | PBE | relaxed; polymorph energy (0 for the lowest one) = 0.000 eV per atom; symmetry = No. 123
1.0
4.377 0.000 0.000
0.000 4.377 0.000
0.000 0.000 3.424
P Pt O F
1 1 1 2
Cartesian
0.000 0.000 0.000
2.189 2.189 1.712
0.000 0.000 1.712
0.000 2.189 0.000
2.189 0.000 0.000

---

PuPO4F2 | Alexandria via LeMat-Bulk | PBE | relaxed; DFT total energy = -8.025 eV per atom; symmetry = No. 59
1.0
5.626 0.000 0.000
0.000 6.930 0.000
0.000 0.000 7.244
Pu P O F
2 2 8 4
Cartesian
1.406 1.733 1.670
4.219 5.198 5.575
1.406 5.198 0.720
4.219 1.733 6.524
0.132 5.198 7.067
1.406 3.935 1.590
1.406 6.460 1.590
2.681 5.198 7.067
2.945 1.733 0.178
4.219 0.470 5.654
4.219 2.995 5.654
5.494 1.733 0.178
0.007 5.198 4.141
2.806 5.198 4.141
2.820 1.733 3.104
5.619 1.733 3.104

---

PuPO6F | Alexandria via LeMat-Bulk | PBE | relaxed; DFT total energy = -7.516 eV per atom; symmetry = No. 1
1.0
4.882 0.000 0.000
0.238 5.231 0.000
0.550 1.652 5.267
Pu P O F
1 1 6 1
Cartesian
0.000 0.000 0.000
0.660 2.984 1.889
0.228 1.537 1.280
1.068 2.713 3.330
1.717 3.597 0.974
3.100 1.898 5.243
4.344 3.953 1.737
5.375 5.512 4.155
3.499 3.154 4.574